Record 1
HfI4 after structural relaxation. Source: the Alexandria database, functional GGA-PBE.

The size of the total moment comes out at 0.0 Bohr magnetons per cell. The uncorrected formation energy is -892 meV per atom.

The space group is C2/c (No. 15) and the conventional cell measures 14.868, 9.141 and 7.189 Å, with angles of 90.00, 91.12 and 90.00 degrees. The distinct sites, in fractional coordinates, are Hf at (0.000, 0.146, 0.250), I at (0.107, 0.102, 0.926) and I at (0.120, 0.341, 0.395).


Record 2
LiAs2HSe after structural relaxation. Source: the Alexandria database, functional GGA-PBE.

Its energy above the lowest structure with this stoichiometry is 641 meV per atom. The size of the total moment comes out at 0.6 Bohr magnetons per cell.

The space group is P4/mmm (No. 123) and the conventional cell measures 4.558, 4.558 and 4.617 Å, with angles of 90.00, 90.00 and 90.00 degrees. The distinct sites, in fractional coordinates, are Li at (0.000, 0.000, 0.000), As at (0.000, 0.500, 0.000), H at (0.500, 0.500, 0.500) and Se at (0.000, 0.000, 0.500).